SmNiB: relaxed, PBE-GGA.

Cell: 3.252 3.250 10.629 Å, 90.00 90.00 120.01°
Positions (direct):
Ni1 0.611 0.223 0.395
Ni2 0.611 0.223 0.605
Sm1 0.277 0.555 0.818
Sm2 0.277 0.555 0.182
B1 0.611 0.222 0.000
B2 0.278 0.556 0.500

Output
Its formation energy is 1.2 eV/f.u. Its energy is -31.9 eV for the cell shown.

***

Sm2Ga2Co: relaxed, PBE-GGA.

Cell: 3.843 5.961 10.216 Å, 93.34 79.16 71.19°
Positions (direct):
Ga1 0.362 0.164 0.112
Ga2 0.876 0.806 0.442
Ga3 0.124 0.194 0.558
Ga4 0.638 0.836 0.888
Sm1 0.335 0.670 0.660
Sm2 0.931 0.263 0.874
Sm3 0.069 0.737 0.126
Sm4 0.665 0.330 0.340
Co1 0.372 0.934 0.321
Co2 0.628 0.066 0.679

Output
Its formation energy is -2.5 eV/f.u. Its energy is -50.1 eV for the cell shown.

***

Question: Among the records above, which one has the lowest energy?
Answer: Sm2Ga2Co